No. 1
# Cs3Cr2PbBr9 PBE relaxed
# **Calculated volume**: 515.95 Å³ per cell
# **Formation energy (no corrections)**: -1168 meV/atom
data_Cs3Cr2PbBr9
_symmetry_space_group_name_H-M 'P -3 m 1'
_symmetry_Int_Tables_number 164
_symmetry_space_group_name_Hall '-P 3 2"'
_cell_length_a 7.8437
_cell_length_b 7.8437
_cell_length_c 9.6837
_cell_angle_alpha 90.00
_cell_angle_beta 90.00
_cell_angle_gamma 120.00
loop_
_atom_site_label
_atom_site_type_symbol
_atom_site_fract_x
_atom_site_fract_y
_atom_site_fract_z
_atom_site_occupancy
Cs1 Cs 0.0000 0.0000 0.0000 1
Cs2 Cs 0.3333 0.6667 0.6717 1
Cr1 Cr 0.3333 0.6667 0.1520 1
Pb1 Pb 0.0000 0.0000 0.5000 1
Br1 Br 0.0000 0.5000 0.0000 1
Br2 Br 0.1766 0.3532 0.3148 1

No. 2
# Cs2CrPdBr6 PBE relaxed
# **Calculated volume**: 642.37 Å³ per cell
# **Formation energy (no corrections)**: -1004 meV/atom
data_Cs2CrPdBr6
_symmetry_space_group_name_H-M 'I 4/m m m'
_symmetry_Int_Tables_number 139
_symmetry_space_group_name_Hall '-I 4 2'
_cell_length_a 7.397
_cell_length_b 7.397
_cell_length_c 11.741
_cell_angle_alpha 90.00
_cell_angle_beta 90.00
_cell_angle_gamma 90.00
loop_
_atom_site_label
_atom_site_type_symbol
_atom_site_fract_x
_atom_site_fract_y
_atom_site_fract_z
_atom_site_occupancy
Cs1 Cs 0.000 0.500 0.250 1
Cr1 Cr 0.000 0.000 0.000 1
Pd1 Pd 0.000 0.000 0.500 1
Br1 Br 0.000 0.000 0.214 1
Br2 Br 0.247 0.247 0.500 1